[1]
Below is Th2Be4ReSi3 after structural relaxation, with properties calculated at the PBE level. Values from VASP.

```
&SYSTEM
  ibrav = 0, nat = 10, ntyp = 4
/
ATOMIC_SPECIES
Th 232.04 Th.upf
Be 9.01 Be.upf
Re 186.21 Re.upf
Si 28.09 Si.upf
CELL_PARAMETERS angstrom
3.948 0.000 0.000
0.000 3.948 0.000
0.000 0.000 9.946
ATOMIC_POSITIONS angstrom
Th 1.974 0.000 2.462
Th 0.000 1.974 7.484
Be 1.974 1.974 0.000
Be 0.000 0.000 0.000
Be 1.974 0.000 6.268
Be 0.000 1.974 3.678
Re 1.974 1.974 4.973
Si 0.000 0.000 4.973
Si 1.974 0.000 8.689
Si 0.000 1.974 1.258
```

Summary:
- magnetization (μB per formula unit) = 0.00
- formation energy without anion corrections (eV/atom) = -0.33
- space group = No. 115

***

[2]
Below is BeTlRe2Si after structural relaxation, with properties calculated at the PBE level. Values from VASP.

```
&SYSTEM
  ibrav = 0, nat = 5, ntyp = 4
/
ATOMIC_SPECIES
Re 186.21 Re.upf
Tl 204.38 Tl.upf
Si 28.09 Si.upf
Be 9.01 Be.upf
CELL_PARAMETERS angstrom
4.573 0.000 0.000
0.000 4.067 0.000
0.000 0.000 4.573
ATOMIC_POSITIONS angstrom
Re 0.000 0.000 2.286
Re 2.286 0.000 0.000
Tl 2.286 2.033 2.286
Si 0.000 0.000 0.000
Be 0.000 2.033 0.000
```

Summary:
- magnetization (μB per formula unit) = 0.00
- formation energy without anion corrections (eV/atom) = 1.14
- space group = No. 123

***

[3]
Below is Be2TlReSi after structural relaxation, with properties calculated at the PBE level. Values from VASP.

```
&SYSTEM
  ibrav = 0, nat = 5, ntyp = 4
/
ATOMIC_SPECIES
Re 186.21 Re.upf
Tl 204.38 Tl.upf
Si 28.09 Si.upf
Be 9.01 Be.upf
CELL_PARAMETERS angstrom
-3.302 -2.023 1.377
2.578 -0.924 4.828
-1.530 3.512 1.489
ATOMIC_POSITIONS angstrom
Re -1.127 0.283 3.847
Tl 1.289 -0.462 2.414
Si 0.000 0.000 0.000
Be -0.765 1.756 0.744
Be -1.651 -1.011 0.688
```

Summary:
- magnetization (μB per formula unit) = 2.56
- formation energy without anion corrections (eV/atom) = 1.51
- space group = No. 123

***

[4]
Below is U2Be4ReSi3 after structural relaxation, with properties calculated at the PBE level. Values from VASP.

```
&SYSTEM
  ibrav = 0, nat = 10, ntyp = 4
/
ATOMIC_SPECIES
U 238.03 U.upf
Be 9.01 Be.upf
Re 186.21 Re.upf
Si 28.09 Si.upf
CELL_PARAMETERS angstrom
-3.835 0.211 -0.282
-0.352 -2.080 3.222
0.061 8.047 5.200
ATOMIC_POSITIONS angstrom
U -1.902 2.134 1.170
U -0.130 4.979 5.501
Be -2.093 -0.934 1.470
Be 0.000 0.000 0.000
Be -1.879 5.235 3.174
Be -0.154 1.877 3.496
Re -2.063 3.089 4.070
Si 0.031 4.023 2.600
Si -1.865 7.101 4.380
Si -0.168 0.012 2.291
```

Summary:
- magnetization (μB per formula unit) = 4.07
- formation energy without anion corrections (eV/atom) = -0.16
- space group = No. 115

***

[5]
Below is Be2ReSiW after structural relaxation, with properties calculated at the PBE level. Values from VASP.

```
&SYSTEM
  ibrav = 0, nat = 5, ntyp = 4
/
ATOMIC_SPECIES
Re 186.21 Re.upf
Si 28.09 Si.upf
W 183.84 W.upf
Be 9.01 Be.upf
CELL_PARAMETERS angstrom
4.165 0.000 0.000
0.000 4.893 0.000
0.000 0.000 4.165
ATOMIC_POSITIONS angstrom
Re 0.000 0.000 0.000
Si 2.082 2.447 2.082
W 0.000 2.447 0.000
Be 0.000 0.000 2.082
Be 2.082 0.000 0.000
```

Summary:
- magnetization (μB per formula unit) = 0.00
- formation energy without anion corrections (eV/atom) = 1.44
- space group = No. 123

***

[6]
Below is BeRe2SiW after structural relaxation, with properties calculated at the PBE level. Values from VASP.

```
&SYSTEM
  ibrav = 0, nat = 5, ntyp = 4
/
ATOMIC_SPECIES
Re 186.21 Re.upf
Si 28.09 Si.upf
W 183.84 W.upf
Be 9.01 Be.upf
CELL_PARAMETERS angstrom
4.255 0.000 0.000
0.000 3.826 0.000
0.000 0.000 4.255
ATOMIC_POSITIONS angstrom
Re 0.000 0.000 2.128
Re 2.128 0.000 0.000
Si 0.000 1.913 0.000
W 2.128 1.913 2.128
Be 0.000 0.000 0.000
```

Summary:
- magnetization (μB per formula unit) = 0.34
- formation energy without anion corrections (eV/atom) = 0.85
- space group = No. 123

***

[7]
Below is SmBeRe after structural relaxation, with properties calculated at the PBE level. Values from VASP.

```
&SYSTEM
  ibrav = 0, nat = 6, ntyp = 3
/
ATOMIC_SPECIES
Sm 150.36 Sm.upf
Be 9.01 Be.upf
Re 186.21 Re.upf
CELL_PARAMETERS angstrom
-2.760 2.966 -3.792
1.058 -4.458 -3.148
-2.364 -0.838 4.191
ATOMIC_POSITIONS angstrom
Sm -1.441 -2.157 -4.086
Sm -2.625 -0.173 1.336
Be 0.000 0.000 0.000
Be -2.033 -1.165 -1.375
Re -0.190 -2.189 -0.549
Re -3.876 -0.141 -2.201
```

Summary:
- magnetization (μB per formula unit) = 0.00
- energy relative to the elements (meV per atom) = 103
- space group = No. 2

***

[8]
Below is BeRe3Sn after structural relaxation, with properties calculated at the PBE level. Values from VASP.

```
&SYSTEM
  ibrav = 0, nat = 5, ntyp = 3
/
ATOMIC_SPECIES
Re 186.21 Re.upf
Sn 118.71 Sn.upf
Be 9.01 Be.upf
CELL_PARAMETERS angstrom
4.240 0.000 0.000
0.000 4.240 0.000
0.000 0.000 4.240
ATOMIC_POSITIONS angstrom
Re 0.000 2.120 0.000
Re 0.000 0.000 2.120
Re 2.120 0.000 0.000
Sn 2.120 2.120 2.120
Be 0.000 0.000 0.000
```

Summary:
- magnetization (μB per formula unit) = 0.00
- energy relative to the elements (meV per atom) = 843
- space group = No. 221

***

[9]
Below is BeReSn2 after structural relaxation, with properties calculated at the PBE level. Values from VASP.

```
&SYSTEM
  ibrav = 0, nat = 8, ntyp = 3
/
ATOMIC_SPECIES
Re 186.21 Re.upf
Sn 118.71 Sn.upf
Be 9.01 Be.upf
CELL_PARAMETERS angstrom
7.387 0.000 0.000
0.000 7.387 0.000
3.694 3.694 2.789
ATOMIC_POSITIONS angstrom
Re 0.000 0.000 0.000
Re 7.387 3.694 1.395
Sn 5.373 1.847 0.697
Sn 2.014 5.540 0.697
Sn 5.540 5.708 2.092
Sn 9.234 9.066 2.092
Be 3.694 3.694 0.000
Be 3.694 7.387 1.395
```

Summary:
- magnetization (μB per formula unit) = 1.02
- energy relative to the elements (meV per atom) = 1010
- space group = No. 122

***

[10]
Below is Be2ReSn after structural relaxation, with properties calculated at the PBE level. Values from VASP.

```
&SYSTEM
  ibrav = 0, nat = 8, ntyp = 3
/
ATOMIC_SPECIES
Re 186.21 Re.upf
Sn 118.71 Sn.upf
Be 9.01 Be.upf
CELL_PARAMETERS angstrom
-3.626 -0.598 5.776
-3.689 -5.021 -2.836
-1.930 -4.587 2.370
ATOMIC_POSITIONS angstrom
Re 0.000 0.000 0.000
Re -4.607 -3.997 4.808
Sn -3.658 -2.810 1.470
Sn -4.639 -6.209 0.502
Be -3.382 -2.177 4.122
Be -3.070 -4.331 -0.732
Be -4.016 -5.309 3.015
Be -8.023 -8.595 4.216
```

Summary:
- magnetization (μB per formula unit) = 0.00
- energy relative to the elements (meV per atom) = 798
- space group = No. 122

***

[11]
Below is Sr4BeRe after structural relaxation, with properties calculated at the PBE level. Values from VASP.

```
&SYSTEM
  ibrav = 0, nat = 6, ntyp = 3
/
ATOMIC_SPECIES
Sr 87.62 Sr.upf
Be 9.01 Be.upf
Re 186.21 Re.upf
CELL_PARAMETERS angstrom
-5.116 1.216 4.031
-6.165 -1.458 -1.940
-3.260 -5.029 2.825
ATOMIC_POSITIONS angstrom
Sr -8.016 -1.360 3.868
Sr -7.082 -4.503 3.261
Sr -8.544 -2.705 0.863
Sr -5.441 -1.972 1.840
Be -10.906 -3.953 3.687
Re 0.000 0.000 0.000
```

Summary:
- magnetization (μB per formula unit) = 2.24
- energy relative to the elements (meV per atom) = 1623
- space group = No. 216

***

[12]
Below is SrBe3Re after structural relaxation, with properties calculated at the PBE level. Values from VASP.

```
&SYSTEM
  ibrav = 0, nat = 5, ntyp = 3
/
ATOMIC_SPECIES
Re 186.21 Re.upf
Be 9.01 Be.upf
Sr 87.62 Sr.upf
CELL_PARAMETERS angstrom
-1.563 2.749 -3.044
3.016 -1.438 -2.847
-2.780 -3.105 -1.377
ATOMIC_POSITIONS angstrom
Re -0.664 -0.897 -3.634
Be 1.508 -0.719 -1.423
Be -1.390 -1.553 -0.688
Be -0.782 1.374 -1.522
Sr 0.000 0.000 0.000
```

Summary:
- magnetization (μB per formula unit) = 0.00
- energy relative to the elements (meV per atom) = 2966
- energy above the lowest structure with this stoichiometry (kJ per mole of atoms) = 244.02
- space group = No. 221

***

| no. | raw total energy (eV per atom) |
| --- | --- |
| 1 | -6.175 |
| 2 | -6.145 |
| 3 | -4.028 |
| 4 | -6.784 |
| 5 | -6.216 |
| 6 | -8.548 |
| 7 | -6.862 |
| 8 | -8.172 |
| 9 | -5.035 |
| 10 | -5.178 |
| 11 | -2.194 |
| 12 | -2.096 |